10
Lattice="-1.5895 1.7791 -2.7450 1.0782 -2.5964 -2.3071 -15.9759 -9.4260 3.1414" Properties=species:S:1:pos:R:3 comment="Y5TlAg4 (GGA-PBE, optimized geometry)" e_form_mev_per_atom=-339 pbc="T T T"
Y -2.0070 -1.4420 -2.1817
Y -5.1206 -3.2790 -1.5694
Y -8.2436 -5.1217 -0.9553
Y -11.3665 -6.9643 -0.3413
Y -14.4801 -8.8013 0.2710
Tl 0.0000 0.0000 0.0000
Ag -3.3103 -1.9531 0.6509
Ag -6.4323 -3.7951 1.2648
Ag -9.5436 -5.6309 1.8766
Ag -12.6656 -7.4729 2.4905

***

5
Lattice="-1.6615 2.2796 -3.9943 0.4964 -4.9594 -3.0369 -4.5801 -1.2043 1.2180" Properties=species:S:1:pos:R:3 comment="CrAg2BiCl (GGA-PBE, optimized geometry)" formation_energy_uncorrected_ev_per_atom=0.80 pbc="T T T"
Cr -2.8726 -1.9421 -2.9066
Bi 0.2482 -2.4797 -1.5184
Ag -2.2901 -0.6021 0.6090
Ag -0.8308 1.1398 -1.9971
Cl 0.0000 0.0000 0.0000

***

14
Lattice="-3.2165 -5.0820 -1.9000 3.7387 -0.3470 5.0679 -2.6789 0.9328 2.0402" Properties=species:S:1:pos:R:3 comment="ErH3O3 (GGA-PBE, optimized geometry)" energy_ev_per_cell=-86.509 pbc="T T T"
Er 0.7506 -1.6921 3.2553
Er -2.9073 -2.8040 1.9528
H -1.0566 -1.2360 0.6738
H -2.9121 -4.2010 -0.4069
H -0.7349 -4.3743 2.5312
H -1.1001 -3.2602 4.5343
H 0.7554 -0.2951 5.6150
H -1.4218 -0.1218 2.6769
O -0.7837 -1.8973 1.3345
O -2.5613 -3.2936 -0.3612
O -1.3585 -4.6203 1.8248
O -1.3730 -2.5989 3.8735
O 0.4047 -1.2025 5.5693
O -0.7982 0.1242 3.3833

***

4
Lattice="0.0000 2.7058 2.7058 2.7058 0.0000 2.7058 2.7058 2.7058 0.0000" Properties=species:S:1:pos:R:3 comment="MnCr2H (GGA-PBE, optimized geometry)" polymorph_energy_kj_per_mol_atoms=55.57 pbc="T T T"
Cr 1.3529 1.3529 1.3529
Cr 4.0587 4.0587 4.0587
Mn 2.7058 2.7058 2.7058
H 0.0000 0.0000 0.0000

***

4
Lattice="5.2447 0.0066 0.0000 2.1528 4.7825 0.0000 -3.6987 -2.3945 2.8447" Properties=species:S:1:pos:R:3 comment="Ta2InTc (GGA-PBE, optimized geometry)" e_form_mev_per_atom=157 pbc="T T T"
In 2.6223 0.0033 1.4223
Ta 0.0000 0.0000 0.0000
Ta 1.0764 2.3912 1.4223
Tc 3.6987 2.3945 0.0000

***

17
Lattice="-4.3227 0.8686 -6.9164 5.7865 -5.7098 -1.0913 -5.0017 -2.3032 6.0791" Properties=species:S:1:pos:R:3 comment="Na4P12Br (GGA-PBE, optimized geometry)" formation_energy_uncorrected_ev_per_atom=-0.04 pbc="T T T"
Na 2.8933 -2.8549 -0.5456
Na -2.5008 -1.1516 3.0395
Na -2.1613 0.4343 -3.4582
Na -1.7689 -3.5722 -0.9643
P -5.5669 -1.4262 -1.4152
P -2.9716 -2.0575 -4.9003
P 0.6523 -2.7665 -2.5245
P -0.7462 -3.2488 1.8277
P -4.1901 -4.3778 0.5959
P -0.5662 -5.0868 2.9718
P 0.9881 -3.8769 -4.3613
P -4.5259 -3.2674 2.4327
P -2.7916 -3.8955 -3.7563
P -3.4281 -1.0972 -1.2232
P -0.1096 -6.0471 -0.7054
P 2.0291 -5.7181 -0.5133
Br 0.0000 0.0000 0.0000

***

4
Lattice="-0.1136 -4.2432 -0.5098 1.5426 -2.5621 3.0550 -6.1224 -2.4717 4.0100" Properties=species:S:1:pos:R:3 comment="Pr2ZnPt (GGA-PBE, optimized geometry)" e_form_mev_per_atom=-552 pbc="T T T"
Pr -4.6874 -2.4275 3.3224
Pr -0.9588 -2.3126 1.5360
Zn -2.3079 -4.6373 3.2590
Pt 0.9141 -4.5381 1.7153

***

5
Lattice="-1.2507 3.7732 2.5835 -4.5323 -1.3791 -0.1800 0.6083 -2.5173 3.9711" Properties=species:S:1:pos:R:3 comment="Os3PtC (GGA-PBE, optimized geometry)" e_form_mev_per_atom=3955 polymorph_energy_kj_per_mol_atoms=328.16 pbc="T T T"
C -2.5874 -0.0616 3.1873
Os -2.2661 -0.6896 -0.0900
Os 0.3041 -1.2586 1.9855
Os -0.6254 1.8866 1.2917
Pt 0.0000 0.0000 0.0000